Entry 1:
## LaRu2Se (PBE)

Data for a relaxed structure of LaRu2Se.

Results
* VASP energy: -6.71 eV per atom
* size of the total moment: 0.00 Bohr magnetons per cell
* formation energy without anion corrections: 3 kJ per mole of atoms

Cell: 5.4588 5.4588 5.4588 Å, 137.15 137.15 62.20°
With the nearest neighbours (Å) after each atom.
Sites, in units of the cell vectors:
1 La 0.0000 0.0000 0.0000  8 Ru 2.82-3.07, 4 Se 3.07
2 Ru 0.2500 0.7500 0.5000  4 Se 2.82, 4 Ru 3.07, 4 La 3.07
3 Ru 0.5000 0.5000 0.0000  4 La 2.82, 4 Se 3.07, 4 Ru 3.07
4 Se 0.7500 0.2500 0.5000  8 Ru 2.82-3.07, 4 La 3.07

=====

Entry 2:
## LaRu2Se (PBE)

Data for a relaxed structure of LaRu2Se.

Results
* VASP energy: -6.55 eV per atom
* size of the total moment: 2.93 Bohr magnetons per cell
* formation energy without anion corrections: 18 kJ per mole of atoms

Cell: 4.8065 4.8065 4.8065 Å, 60.00 60.00 60.00°
With the nearest neighbours (Å) after each atom.
Sites, in units of the cell vectors:
1 La 0.0000 0.0000 0.0000  4 Se 2.94, 4 Ru 2.94
2 Ru 0.5000 0.5000 0.5000  4 Ru 2.94, 4 Se 2.94
3 Ru 0.7500 0.7500 0.7500  4 Ru 2.94, 4 La 2.94
4 Se 0.2500 0.2500 0.2500  4 Ru 2.94, 4 La 2.94

=====

Entry 3:
## LaRu4Se (PBE)

Data for a relaxed structure of LaRu4Se.

Results
* VASP energy: -7.28 eV per atom
* size of the total moment: 0.00 Bohr magnetons per cell
* formation energy without anion corrections: 30 kJ per mole of atoms

Cell: 5.3358 5.3358 5.3358 Å, 60.00 60.00 60.00°
With the nearest neighbours (Å) after each atom.
Sites, in units of the cell vectors:
1 La 0.0000 0.0000 0.0000  12 Ru 3.13, 4 Se 3.27
2 Ru 0.1285 0.6238 0.6238  6 Ru 2.64-2.69
3 Ru 0.6238 0.1285 0.6238  6 Ru 2.64-2.69
4 Ru 0.6238 0.6238 0.1285  6 Ru 2.64-2.69
5 Ru 0.6238 0.6238 0.6238  6 Ru 2.64-2.69
6 Se 0.2500 0.2500 0.2500  12 Ru 3.13, 4 La 3.27

=====

Entry 4:
## LaRu2Se (PBE)

Data for a relaxed structure of LaRu2Se.

Results
* VASP energy: -6.96 eV per atom
* size of the total moment: 0.00 Bohr magnetons per cell
* formation energy without anion corrections: -21 kJ per mole of atoms

Cell: 3.8847 3.8985 5.7487 Å, 90.00 104.26 90.00°
With the nearest neighbours (Å) after each atom.
Sites, in units of the cell vectors:
1 La 0.0000 0.0000 0.0000  4 Ru 2.91-3.22, 4 Se 3.13-3.20
2 Ru 0.5444 0.0000 0.4511  2 Ru 2.44, 2 Se 2.65
3 Ru 0.8779 0.5000 0.3751  1 Se 2.42, 2 Ru 2.44
4 Se 0.3834 0.5000 0.7190  3 Ru 2.42-2.65

=====

Entry 5:
## LaRu2Se (PBE)

Data for a relaxed structure of LaRu2Se.

Results
* VASP energy: -6.58 eV per atom
* size of the total moment: 0.00 Bohr magnetons per cell
* formation energy without anion corrections: 15 kJ per mole of atoms

Cell: 3.1570 3.1570 7.3399 Å, 90.00 90.00 90.00°
With the nearest neighbours (Å) after each atom.
Sites, in units of the cell vectors:
1 La 0.0000 0.0000 0.0000  8 Ru 3.14, 4 La 3.16
2 Ru 0.5000 0.5000 0.3017  4 Se 2.66, 1 Ru 2.91
3 Ru 0.5000 0.5000 0.6983  4 Se 2.66, 1 Ru 2.91
4 Se 0.0000 0.0000 0.5000  8 Ru 2.66

=====

Entry 6:
## LaRu2Se (PBE)

Data for a relaxed structure of LaRu2Se.

Results
* VASP energy: -6.95 eV per atom
* size of the total moment: 0.00 Bohr magnetons per cell
* formation energy without anion corrections: -20 kJ per mole of atoms

Cell: 5.7160 5.7160 5.7160 Å, 43.93 43.93 43.93°
With the nearest neighbours (Å) after each atom.
Sites, in units of the cell vectors:
1 La 0.0000 0.0000 0.0000  8 Ru 3.14-3.19
2 Ru 0.2029 0.2029 0.2029  3 Se 2.53, 3 Ru 2.71
3 Ru 0.7971 0.7971 0.7971  3 Se 2.53, 3 Ru 2.71
4 Se 0.5000 0.5000 0.5000  6 Ru 2.53